Entry from Alexandria: a geometry-optimized Ba3VFe2O9 structure (PBE with a Hubbard U).

CIF file:
```
data_Ba3VFe2O9
_chemical_formula_sum 'Ba3 V1 Fe2 O9'
_symmetry_space_group_name_H-M 'P -3 m 1'
_symmetry_Int_Tables_number 164
_symmetry_space_group_name_Hall '-P 3 2"'
_cell_length_a 5.6889
_cell_length_b 5.6889
_cell_length_c 6.9962
_cell_angle_alpha 90.00
_cell_angle_beta 90.00
_cell_angle_gamma 120.00
loop_
_atom_site_label
_atom_site_type_symbol
_atom_site_fract_x
_atom_site_fract_y
_atom_site_fract_z
Ba1 Ba 0.0000 0.0000 0.0000
Ba2 Ba 0.3333 0.6667 0.6673
V1 V 0.0000 0.0000 0.5000
Fe1 Fe 0.3333 0.6667 0.1644
O1 O 0.0000 0.5000 0.0000
O2 O 0.1607 0.3213 0.3411
```

Properties
energy: -100.541 eV/cell
spin magnetization: 0.616 μB/atom